No. 1
! Be2CdRh PBE-GGA optimized geometry; values from VASP
&SYSTEM
  ibrav = 0, nat = 4, ntyp = 3
/
ATOMIC_SPECIES
Be 9.01 Be.upf
Cd 112.41 Cd.upf
Rh 102.91 Rh.upf
ATOMIC_POSITIONS crystal
Be 0.0000 0.0000 0.0000
Be 0.5000 0.5000 0.1966
Cd 0.0000 0.0000 0.4857
Rh 0.5000 0.5000 0.8281
CELL_PARAMETERS angstrom
2.9165 0.0000 0.0000
0.0000 2.9165 0.0000
0.0000 0.0000 6.0602
! Space group: P4mm
! E_form: -114 meV per atom


No. 2
! BeCdRh2 PBE-GGA optimized geometry; values from VASP
&SYSTEM
  ibrav = 0, nat = 4, ntyp = 3
/
ATOMIC_SPECIES
Be 9.01 Be.upf
Cd 112.41 Cd.upf
Rh 102.91 Rh.upf
ATOMIC_POSITIONS crystal
Be 0.0000 0.0000 0.0000
Cd 0.5000 0.5000 0.5000
Rh 0.2896 0.2896 0.7900
Rh 0.7104 0.7104 0.2100
CELL_PARAMETERS angstrom
4.7889 -1.4434 0.0000
4.7889 1.4434 0.0000
-2.2038 0.0000 4.0405
! Space group: C2/m
! E_form: -172 meV per atom


No. 3
! BeCd2Rh2 PBE-GGA optimized geometry; values from VASP
&SYSTEM
  ibrav = 0, nat = 10, ntyp = 3
/
ATOMIC_SPECIES
Be 9.01 Be.upf
Cd 112.41 Cd.upf
Rh 102.91 Rh.upf
ATOMIC_POSITIONS crystal
Be 0.0000 0.0000 0.0000
Be 0.5000 0.5000 0.0000
Cd 0.1668 0.3332 0.5000
Cd 0.3332 0.8332 0.5000
Cd 0.6668 0.1668 0.5000
Cd 0.8332 0.6668 0.5000
Rh 0.1507 0.6507 0.0000
Rh 0.3493 0.1507 0.0000
Rh 0.6507 0.8493 0.0000
Rh 0.8493 0.3493 0.0000
CELL_PARAMETERS angstrom
6.0517 0.0000 0.0000
0.0000 6.0517 0.0000
0.0000 0.0000 4.4088
! Space group: P4/mbm
! E_form: -165 meV per atom


No. 4
! BeCdRh2 PBE-GGA optimized geometry; values from VASP
&SYSTEM
  ibrav = 0, nat = 4, ntyp = 3
/
ATOMIC_SPECIES
Be 9.01 Be.upf
Cd 112.41 Cd.upf
Rh 102.91 Rh.upf
ATOMIC_POSITIONS crystal
Be 0.0000 0.0000 0.0000
Cd 0.0000 0.0000 0.5000
Rh 0.3607 0.5000 0.2076
Rh 0.6393 0.5000 0.7924
CELL_PARAMETERS angstrom
2.8601 0.0000 0.0000
0.0000 3.7017 0.0000
-1.2646 0.0000 5.3976
! Space group: P2/m
! E_form: -180 meV per atom


No. 5
! Be2CdRh PBE-GGA optimized geometry; values from VASP
&SYSTEM
  ibrav = 0, nat = 4, ntyp = 3
/
ATOMIC_SPECIES
Be 9.01 Be.upf
Cd 112.41 Cd.upf
Rh 102.91 Rh.upf
ATOMIC_POSITIONS crystal
Be 0.0000 0.0000 0.0000
Be 0.2500 0.2500 0.2500
Cd 0.5000 0.5000 0.5000
Rh 0.7500 0.7500 0.7500
CELL_PARAMETERS angstrom
0.0000 2.9869 2.9869
2.9869 0.0000 2.9869
2.9869 2.9869 0.0000
! Space group: F-43m
! E_form: 152 meV per atom


No. 6
! BeCdRh2 PBE-GGA optimized geometry; values from VASP
&SYSTEM
  ibrav = 0, nat = 4, ntyp = 3
/
ATOMIC_SPECIES
Be 9.01 Be.upf
Cd 112.41 Cd.upf
Rh 102.91 Rh.upf
ATOMIC_POSITIONS crystal
Be 0.0000 0.0000 0.0000
Cd 0.7553 0.2553 0.5000
Rh 0.1990 0.6990 0.5000
Rh 0.4711 0.4711 0.0000
CELL_PARAMETERS angstrom
-1.4637 2.1909 4.4086
1.4637 -2.1909 4.4086
1.4637 2.1909 -4.4086
! Space group: Imm2
! E_form: -37 meV per atom


No. 7
! BeCdRh2 PBE-GGA optimized geometry; values from VASP
&SYSTEM
  ibrav = 0, nat = 4, ntyp = 3
/
ATOMIC_SPECIES
Be 9.01 Be.upf
Cd 112.41 Cd.upf
Rh 102.91 Rh.upf
ATOMIC_POSITIONS crystal
Be 0.0000 0.0000 0.0000
Cd 0.0000 0.0000 0.5000
Rh 0.5000 0.5000 0.1995
Rh 0.5000 0.5000 0.8005
CELL_PARAMETERS angstrom
2.8864 0.0000 0.0000
0.0000 2.8864 0.0000
0.0000 0.0000 6.6500
! Space group: P4/mmm
! E_form: -279 meV per atom


No. 8
! BeCd2Rh PBE-GGA optimized geometry; values from VASP
&SYSTEM
  ibrav = 0, nat = 4, ntyp = 3
/
ATOMIC_SPECIES
Be 9.01 Be.upf
Cd 112.41 Cd.upf
Rh 102.91 Rh.upf
ATOMIC_POSITIONS crystal
Be 0.0000 0.0000 0.0000
Cd 0.2500 0.2500 0.2500
Cd 0.5000 0.5000 0.5000
Rh 0.7500 0.7500 0.7500
CELL_PARAMETERS angstrom
0.0000 3.1670 3.1670
3.1670 0.0000 3.1670
3.1670 3.1670 0.0000
! Space group: F-43m
! E_form: 106 meV per atom


No. 9
! BeCd2Rh PBE-GGA optimized geometry; values from VASP
&SYSTEM
  ibrav = 0, nat = 8, ntyp = 3
/
ATOMIC_SPECIES
Be 9.01 Be.upf
Cd 112.41 Cd.upf
Rh 102.91 Rh.upf
ATOMIC_POSITIONS crystal
Be 0.0000 0.0000 0.0000
Be 0.7500 0.2500 0.5000
Cd 0.0927 0.6250 0.9677
Cd 0.3750 0.3427 0.4677
Cd 0.6573 0.1250 0.0323
Cd 0.8750 0.9073 0.5323
Rh 0.2500 0.7500 0.5000
Rh 0.5000 0.5000 0.0000
CELL_PARAMETERS angstrom
-2.9058 2.9058 5.7302
2.9058 -2.9058 5.7302
2.9058 2.9058 -5.7302
! Space group: I-42d
! E_form: 1044 meV per atom


No. 10
! Be2CdRh PBE-GGA optimized geometry; values from VASP
&SYSTEM
  ibrav = 0, nat = 4, ntyp = 3
/
ATOMIC_SPECIES
Be 9.01 Be.upf
Cd 112.41 Cd.upf
Rh 102.91 Rh.upf
ATOMIC_POSITIONS crystal
Be 0.0000 0.0000 0.0000
Be 0.7500 0.2500 0.5000
Cd 0.2500 0.7500 0.5000
Rh 0.5000 0.5000 0.0000
CELL_PARAMETERS angstrom
-1.7391 1.7391 4.2052
1.7391 -1.7391 4.2052
1.7391 1.7391 -4.2052
! Space group: I-4m2
! E_form: -41 meV per atom


No. 11
! BeCdRh2 PBE-GGA optimized geometry; values from VASP
&SYSTEM
  ibrav = 0, nat = 4, ntyp = 3
/
ATOMIC_SPECIES
Be 9.01 Be.upf
Cd 112.41 Cd.upf
Rh 102.91 Rh.upf
ATOMIC_POSITIONS crystal
Be 0.0000 0.0000 0.0000
Cd 0.7500 0.7500 0.7500
Rh 0.2500 0.2500 0.2500
Rh 0.5000 0.5000 0.5000
CELL_PARAMETERS angstrom
0.0000 3.0756 3.0756
3.0756 0.0000 3.0756
3.0756 3.0756 0.0000
! Space group: F-43m
! E_form: 111 meV per atom


No. 12
! BeCdRh2 PBE-GGA optimized geometry; values from VASP
&SYSTEM
  ibrav = 0, nat = 4, ntyp = 3
/
ATOMIC_SPECIES
Be 9.01 Be.upf
Cd 112.41 Cd.upf
Rh 102.91 Rh.upf
ATOMIC_POSITIONS crystal
Be 0.0000 0.0000 0.0000
Cd 0.7351 0.7351 0.4518
Rh 0.3529 0.3529 0.1091
Rh 0.5559 0.5559 0.7419
CELL_PARAMETERS angstrom
4.5562 -1.4571 0.0000
4.5562 1.4571 0.0000
-2.8301 0.0000 4.3418
! Space group: Cm
! E_form: -88 meV per atom